# Ac2Ag5Pb3 | Alexandria via LeMat-Bulk | GGA-PBE | optimized geometry
data_Ac2Ag5Pb3
_space_group_name_H-M_alt 'I b a m'
_space_group_IT_number 72
_space_group_name_Hall '-I 2 2c'
_cell_length_a 11.897
_cell_length_b 13.289
_cell_length_c 6.819
_cell_angle_alpha 90.00
_cell_angle_beta 90.00
_cell_angle_gamma 90.00
loop_
_atom_site_label
_atom_site_type_symbol
_atom_site_fract_x
_atom_site_fract_y
_atom_site_fract_z
Ac1 Ac 0.240 0.123 0.000
Ag1 Ag 0.000 0.000 0.250
Ag2 Ag 0.000 0.262 0.250
Ag3 Ag 0.140 0.375 0.000
Pb1 Pb 0.000 0.500 0.250
Pb2 Pb 0.129 0.133 0.500
# VASP energy = -3.577 eV/atom
# ΔE_f = -2.169 eV/f.u.